No. 1
A plane-wave DFT calculation with PBE was carried out for Cd2Ag3 after structural relaxation.

Output
- energy relative to the lowest polymorph listed for this composition (eV/f.u.) = 0.04
- final energy (eV per cell) = -21.14

Lattice parameters (Å, degrees): 6.796 4.133 6.805 90.00 90.35 90.00
Space group P2_1/m (No. 11)
Asymmetric unit:
Cd: 0.158 0.250 0.058
Cd: 0.256 0.750 0.737
Ag: 0.049 0.750 0.351
Ag: 0.351 0.250 0.447
Ag: 0.452 0.750 0.151


No. 2
A plane-wave DFT calculation with PBE was carried out for Cd2Ag after structural relaxation.

Output
- energy relative to the lowest polymorph listed for this composition (eV/f.u.) = 0.10
- final energy (eV per cell) = -19.00

Lattice parameters (Å, degrees): 26.389 3.120 3.024 90.00 90.06 90.00
Space group C2/m (No. 12)
Asymmetric unit:
Cd: 0.049 0.000 0.251
Cd: 0.206 0.000 0.251
Ag: 0.127 0.500 0.751


final energy of number 2 (Cd2Ag)? -19.00 eV per cell


Copy entry 1 word for word.
A plane-wave DFT calculation with PBE was carried out for Cd2Ag3 after structural relaxation.

Output
- energy relative to the lowest polymorph listed for this composition (eV/f.u.) = 0.04
- final energy (eV per cell) = -21.14

Lattice parameters (Å, degrees): 6.796 4.133 6.805 90.00 90.35 90.00
Space group P2_1/m (No. 11)
Asymmetric unit:
Cd: 0.158 0.250 0.058
Cd: 0.256 0.750 0.737
Ag: 0.049 0.750 0.351
Ag: 0.351 0.250 0.447
Ag: 0.452 0.750 0.151


Which value of energy relative to the lowest polymorph listed for this composition does entry 1 give? 0.04 eV/f.u.